1.
{"formula": "BaYAu2", "functional": "PBE-GGA", "state": "optimized geometry", "lattice": [[3.797, 0.000, 0.000], [0.000, 5.233, 0.000], [-0.750, 0.000, 5.685]], "species": ["Ba", "Y", "Au", "Au"], "fractional_positions": [[0.000, 0.000, 0.000], [0.869, 0.500, 0.477], [0.424, 0.000, 0.519], [0.483, 0.500, 0.899]], "sg": "Pm, No. 6", "de_polymorph_mev_per_atom": 112, "total_magnetization_mub_per_fu": 0.00}



2.
{"formula": "Ba2YAu", "functional": "PBE-GGA", "state": "optimized geometry", "lattice": [[4.137, -4.341, 0.000], [4.137, 4.341, 0.000], [0.000, 0.000, 4.142]], "species": ["Ba", "Ba", "Y", "Au"], "fractional_positions": [[0.000, 0.500, 0.000], [0.500, 0.000, 0.000], [0.000, 0.000, 0.500], [0.500, 0.500, 0.500]], "sg": "Cmmm, No. 65", "de_polymorph_mev_per_atom": 295, "total_magnetization_mub_per_fu": 0.00}



Number 1: formation enthalpy at 0 K -634 meV/atom. Number 2: formation enthalpy at 0 K -21 meV/atom.